(1)
DFT (PBE) results for a relaxed InP2NF crystal.

a = 3.7514 Å, b = 5.8774 Å, c = 3.7514 Å
α = 90.00°, β = 90.00°, γ = 90.00°
Closest atoms and distances in Å follow each position.
Atoms (fractional coordinates):
N 0.0000 0.0000 0.0000  4 P 1.88
P 0.0000 0.0000 0.5000  2 N 1.88
P 0.5000 0.0000 0.0000  2 N 1.88
F 0.0000 0.5000 0.0000  4 In 2.65, 2 N 2.94
In 0.5000 0.5000 0.5000  4 F 2.65

As for the symmetry: No. 123. The total magnetization comes out at 0.00 μB/f.u. As for the formation energy (no corrections): 0.24 eV/atom. The total energy is -22.57 eV for the cell shown.

***

(2)
DFT (PBE) results for a relaxed La2BeH2 crystal.

a = 3.8307 Å, b = 3.8307 Å, c = 6.9270 Å
α = 73.95°, β = 73.95°, γ = 90.00°
Closest atoms and distances in Å follow each position.
Atoms (fractional coordinates):
La 0.3630 0.3630 0.2740  4 H 2.40
La 0.6370 0.6370 0.7260  4 H 2.40
H 0.7500 0.2500 0.5000  4 La 2.40
H 0.2500 0.7500 0.5000  4 La 2.40
Be 0.0000 0.0000 0.0000  8 La 3.22

As for the symmetry: No. 139. The total magnetization comes out at 0.00 μB/f.u. The total energy is -21.48 eV for the cell shown.

***

(3)
DFT (PBE) results for a relaxed LaHo4Hg crystal.

a = 3.6127 Å, b = 3.6127 Å, c = 13.9103 Å
α = 90.00°, β = 90.00°, γ = 90.00°
Closest atoms and distances in Å follow each position.
Atoms (fractional coordinates):
Ho 0.0000 0.0000 0.6408  4 Hg 3.22, 4 Ho 3.54
Ho 0.5000 0.5000 0.8167  8 Ho 3.54-3.61, 4 La 3.61
Ho 0.5000 0.5000 0.1833  8 Ho 3.54-3.61, 4 La 3.61
Ho 0.0000 0.0000 0.3592  4 Hg 3.22, 4 Ho 3.54
Hg 0.5000 0.5000 0.5000  8 Ho 3.22
La 0.0000 0.0000 0.0000  8 Ho 3.61, 4 La 3.61

As for the symmetry: No. 123. The total magnetization comes out at 0.00 μB/f.u. The calculated formation energy is -0.82 eV/f.u. Its energy above the most stable polymorph in this dataset is 0.0 meV per atom. The total energy is -24.36 eV for the cell shown.